Entry 1:
First-principles (GGA-PBE) data for crystalline Pr3Y2Ho3 at its relaxed geometry, as listed in Alexandria.

The space group is Immm (No. 71) and the conventional cell measures 5.083, 5.116 and 20.452 Å, with angles of 90.00, 90.00 and 90.00 degrees. The distinct sites, in fractional coordinates, are Pr at (0.000, 0.000, 0.000), Pr at (0.000, 0.500, 0.124), Y at (0.000, 0.000, 0.249), Ho at (0.000, 0.000, 0.500) and Ho at (0.000, 0.500, 0.374).

As for the crystal system: orthorhombic. The calculation puts the total energy at -5.102 eV per atom. The energy above the most stable polymorph in this dataset comes out at 0.000 eV per atom.

Entry 2:
First-principles (GGA-PBE) data for crystalline KRuPb2 at its relaxed geometry, as listed in Alexandria.

The space group is Pm (No. 6) and the conventional cell measures 3.511, 5.205 and 7.752 Å, with angles of 90.00, 103.02 and 90.00 degrees. The distinct sites, in fractional coordinates, are K at (0.000, 0.000, 0.000), Ru at (0.276, 0.500, 0.552), Pb at (0.289, 0.000, 0.579) and Pb at (0.642, 0.500, 0.284).

As for the crystal system: monoclinic. The calculation puts the total energy at -4.015 eV per atom.

Entry 3:
First-principles (GGA-PBE) data for crystalline DyTc2O6 at its relaxed geometry, as listed in Alexandria.

The space group is C2/m (No. 12) and the conventional cell measures 10.171, 3.871 and 6.984 Å, with angles of 90.00, 119.79 and 90.00 degrees. The distinct sites, in fractional coordinates, are Dy at (0.000, 0.000, 0.000), Tc at (0.178, 0.000, 0.608), O at (0.019, 0.000, 0.683), O at (0.150, 0.500, 0.104) and O at (0.215, 0.500, 0.578).

As for the crystal system: monoclinic. For the raw formation energy, the calculation gives -1.869 eV/atom. The calculation puts the total energy at -7.989 eV per atom.

Entry 4:
First-principles (GGA-PBE) data for crystalline CaPtSN2 at its relaxed geometry, as listed in Alexandria.

The space group is P4/mmm (No. 123) and the conventional cell measures 3.924, 3.924 and 5.280 Å, with angles of 90.00, 90.00 and 90.00 degrees. The distinct sites, in fractional coordinates, are Ca at (0.000, 0.000, 0.000), Pt at (0.500, 0.500, 0.500), S at (0.500, 0.500, 0.000) and N at (0.000, 0.500, 0.500).

As for the crystal system: tetragonal. For the raw formation energy, the calculation gives 0.322 eV/atom. The calculation puts the total energy at -5.442 eV per atom. The energy above the most stable polymorph in this dataset comes out at 0.000 eV per atom.

Entry 5:
First-principles (GGA-PBE) data for crystalline RbNaPtO2 at its relaxed geometry, as listed in Alexandria.

The space group is Cmme (No. 67) and the conventional cell measures 5.565, 12.588 and 5.430 Å, with angles of 90.00, 90.00 and 90.00 degrees. The distinct sites, in fractional coordinates, are Rb at (0.000, 0.250, 0.247), Na at (0.250, 0.000, 0.000), Pt at (0.000, 0.000, 0.500) and O at (0.000, 0.106, 0.758).

As for the crystal system: orthorhombic. For the raw formation energy, the calculation gives -0.928 eV/atom. The calculation puts the total energy at -4.577 eV per atom. The energy above the most stable polymorph in this dataset comes out at 0.000 eV per atom.

Entry 6:
First-principles (GGA-PBE) data for crystalline SrPb2W at its relaxed geometry, as listed in Alexandria.

The space group is Pmm2 (No. 25) and the conventional cell measures 3.242, 5.681 and 5.814 Å, with angles of 90.00, 90.00 and 90.00 degrees. The distinct sites, in fractional coordinates, are Sr at (0.000, 0.000, 0.000), Pb at (0.500, 0.000, 0.518), Pb at (0.500, 0.500, 0.210) and W at (0.500, 0.500, 0.721).

As for the crystal system: orthorhombic. The calculation puts the total energy at -4.806 eV per atom. The energy above the most stable polymorph in this dataset comes out at 0.256 eV per atom.

Entry 7:
First-principles (GGA-PBE) data for crystalline Nd3Ho4Al4 at its relaxed geometry, as listed in Alexandria.

The space group is Immm (No. 71) and the conventional cell measures 5.148, 7.039 and 16.905 Å, with angles of 90.00, 90.00 and 90.00 degrees. The distinct sites, in fractional coordinates, are Nd at (0.000, 0.000, 0.000), Nd at (0.000, 0.500, 0.106), Ho at (0.000, 0.271, 0.321), Al at (0.000, 0.000, 0.182) and Al at (0.000, 0.193, 0.500).

As for the crystal system: orthorhombic. The calculation puts the total energy at -4.519 eV per atom.

Entry 8:
First-principles (GGA-PBE) data for crystalline Na2HfH at its relaxed geometry, as listed in Alexandria.

The space group is Fm-3m (No. 225) and the conventional cell measures 7.463, 7.463 and 7.463 Å, with angles of 90.00, 90.00 and 90.00 degrees. The distinct sites, in fractional coordinates, are Na at (0.250, 0.250, 0.250), Hf at (0.000, 0.000, 0.000) and H at (0.000, 0.000, 0.500).

As for the crystal system: cubic. The calculation puts the total energy at -2.576 eV per atom. The energy above the most stable polymorph in this dataset comes out at 0.524 eV per atom.